## RbFeCl4 (PBE)

Data for a relaxed RbFeCl4 crystal.

a b c (Å): 6.6542 8.6326 10.2572
angles (deg): 90.00 90.00 131.35
With the nearest neighbours (Å) after each atom.
Fractional coordinates of all 12 atoms:
Fe  0.0667  0.8833  0.2500  4 Cl 2.21
Cl  0.9245  0.2643  0.9234  1 Fe 2.21
Cl  0.2955  0.1541  0.7500  1 Fe 2.21
Cl  0.0755  0.7357  0.0766  1 Fe 2.21
Rb  0.9477  0.6256  0.7500  8 Cl 3.43-3.50
Cl  0.0755  0.7357  0.4234  1 Fe 2.21
Fe  0.9333  0.1167  0.7500  4 Cl 2.21
Rb  0.0523  0.3744  0.2500  8 Cl 3.43-3.50
Cl  0.4166  0.2189  0.2500  1 Fe 2.21
Cl  0.7045  0.8459  0.2500  1 Fe 2.21
Cl  0.9245  0.2643  0.5766  1 Fe 2.21
Cl  0.5834  0.7811  0.7500  1 Fe 2.21

## Properties
Uncorrected formation energy ... -1.246 eV/atom
Energy relative to the lowest polymorph listed for this composition ... 0.00 eV/f.u.


## MnV2Se5 (PBE)

Data for a relaxed MnV2Se5 crystal.

a b c (Å): 4.5103 6.7931 6.8562
angles (deg): 83.73 70.80 70.61
With the nearest neighbours (Å) after each atom.
Fractional coordinates of all 8 atoms:
V  0.1905  0.5000  0.1190  3 Se 2.47-2.49, 2 V 2.73
V  0.8095  0.5000  0.8810  3 Se 2.47-2.49, 2 V 2.73
Se  0.5378  0.7453  0.1790  3 V 2.49-2.78, 1 Mn 2.61
Se  0.4622  0.2547  0.8210  3 V 2.49-2.78, 1 Mn 2.61
Mn  0.5000  0.5000  0.5000  2 Se 2.26
Se  0.0000  0.5000  0.5000  2 Mn 2.26, 2 V 2.47
Se  0.2168  0.7453  0.8210  3 V 2.49-2.78, 1 Mn 2.61
Se  0.7832  0.2547  0.1790  3 V 2.49-2.78, 1 Mn 2.61

## Properties
Uncorrected formation energy ... -0.398 eV/atom
Density of states at the Fermi level ... 0.51 states/eV per atom
Energy relative to the lowest polymorph listed for this composition ... 0.84 eV/f.u.


## AcMgAlAu (PBE)

Data for a relaxed AcMgAlAu crystal.

a b c (Å): 5.2221 5.2221 5.2221
angles (deg): 60.00 60.00 60.00
With the nearest neighbours (Å) after each atom.
Fractional coordinates of all 4 atoms:
Mg  0.2500  0.2500  0.2500  4 Al 3.20, 4 Au 3.20
Al  0.5000  0.5000  0.5000  4 Mg 3.20, 4 Ac 3.20
Au  0.0000  0.0000  0.0000  4 Ac 3.20, 4 Mg 3.20
Ac  0.7500  0.7500  0.7500  4 Au 3.20, 4 Al 3.20

## Properties
DFT formation energy ... -384 meV per atom
Density of states at the Fermi level ... 0.59 states/eV per atom


## Cu2SO (PBE)

Data for a relaxed Cu2SO crystal.

a b c (Å): 4.0418 4.0418 4.0418
angles (deg): 60.00 60.00 60.00
With the nearest neighbours (Å) after each atom.
Fractional coordinates of all 4 atoms:
Cu  0.7500  0.7500  0.7500  4 O 2.48, 4 S 2.48
O  0.0000  0.0000  0.0000  8 Cu 2.48
S  0.5000  0.5000  0.5000  8 Cu 2.48
Cu  0.2500  0.2500  0.2500  4 O 2.48, 4 S 2.48

## Properties
Uncorrected formation energy ... 0.219 eV/atom
Density of states at the Fermi level ... 0.40 states/eV per atom
Energy relative to the lowest polymorph listed for this composition ... 2.07 eV/f.u.


Number 1: E -0.149 hartree per atom. Number 2: E -0.221 hartree per atom. Number 3: E -0.131 hartree per atom. Number 4: E -0.151 hartree per atom.